(1)
DFT (PBE) results for Dy4Ir3Au after structural relaxation.

Its volume is 334 Å³/cell. The value obtained for the raw total energy is -6.85 eV per atom. The calculation puts the density of states at the Fermi level at 0.83 states/eV/atom.

The structure in POSCAR format:
```
Dy4Ir3Au
1.0
-3.0165 2.2212 3.0788
-4.2344 -5.7049 -0.0329
4.9232 -3.6974 7.4911
Ir Au Dy
6 2 8
direct
0.0000 0.0000 0.0000
0.0000 0.0000 0.5000
0.4997 0.0000 0.7500
0.5003 0.0000 0.2500
0.5000 0.5000 0.7500
0.5000 0.5000 0.2500
0.0000 0.5000 0.0000
0.0000 0.5000 0.5000
0.5000 0.7582 0.0000
0.5000 0.7582 0.5000
0.5000 0.2418 0.0000
0.5000 0.2418 0.5000
0.9998 0.7581 0.7500
0.0002 0.7581 0.2500
0.0002 0.2419 0.2500
0.9998 0.2419 0.7500
```

***

(2)
DFT (PBE) results for NaPmSiAu after structural relaxation.

As for the formation energy from raw total energies: -369 meV per atom. Its volume is 90 Å³/cell. The value obtained for the raw total energy is -4.06 eV per atom. The calculation puts the density of states at the Fermi level at 0.58 states/eV/atom.

The structure in POSCAR format:
```
NaPmSiAu
1.0
-4.1205 2.8583 0.4414
-1.9712 0.8897 4.5460
0.3294 4.5945 2.0311
Na Si Au Pm
1 1 1 1
direct
0.5000 0.5000 0.5000
0.7500 0.7500 0.7500
0.2500 0.2500 0.2500
0.0000 0.0000 0.0000
```

***

(3)
DFT (PBE) results for Mg7Cu2Se3 after structural relaxation.

As for the formation energy from raw total energies: -56 meV per atom. Its volume is 259 Å³/cell. The value obtained for the raw total energy is -2.54 eV per atom. The calculation puts the density of states at the Fermi level at 0.46 states/eV/atom.

The structure in POSCAR format:
```
Mg7Cu2Se3
1.0
10.2245 0.0292 0.0178
8.7046 5.3638 0.0178
8.7046 2.4800 4.7560
Mg Cu Se
7 2 3
direct
0.5000 0.5000 0.5000
0.4261 0.4261 0.9252
0.4261 0.9252 0.4261
0.9252 0.4261 0.4261
0.5739 0.5739 0.0748
0.0748 0.5739 0.5739
0.5739 0.0748 0.5739
0.6673 0.6673 0.6673
0.3327 0.3327 0.3327
0.0000 0.0000 0.0000
0.8786 0.8786 0.8786
0.1214 0.1214 0.1214
```

***

(4)
DFT (PBE) results for K2RbLiPb after structural relaxation.

Its volume is 341 Å³/cell. The value obtained for the raw total energy is -1.52 eV per atom. The calculation puts the density of states at the Fermi level at 0.93 states/eV/atom.

The structure in POSCAR format:
```
K2RbLiPb
1.0
6.8938 0.0000 0.0000
0.0000 7.1713 0.0000
0.0000 0.0000 6.8938
Pb K Rb Li
1 2 1 1
direct
0.0000 0.0000 0.0000
0.0000 0.0000 0.5000
0.5000 0.0000 0.0000
0.0000 0.5000 0.0000
0.5000 0.5000 0.5000
```

***

(5)
DFT (PBE) results for Ca3SbP after structural relaxation.

As for the formation energy from raw total energies: -574 meV per atom. Its volume is 212 Å³/cell. The value obtained for the raw total energy is -3.68 eV per atom.

The structure in POSCAR format:
```
Ca3SbP
1.0
4.7901 0.0000 3.5570
-2.3950 4.1483 3.5570
-2.3950 -4.1483 3.5570
Sb Ca P
1 3 1
direct
0.7643 0.7643 0.7643
0.8410 0.2704 0.8410
0.2704 0.8410 0.8410
0.8410 0.8410 0.2704
0.1583 0.1583 0.1583
```

***

(6)
DFT (PBE) results for SrThPt4 after structural relaxation.

Its volume is 120 Å³/cell. The value obtained for the raw total energy is -6.51 eV per atom. The calculation puts the density of states at the Fermi level at 0.21 states/eV/atom.

The structure in POSCAR format:
```
SrThPt4
1.0
5.5375 0.0000 0.0000
2.7687 4.7956 0.0000
2.7687 1.5985 4.5213
Sr Pt Th
1 4 1
direct
0.2500 0.2500 0.2500
0.6248 0.6248 0.1255
0.6248 0.1255 0.6248
0.6248 0.6248 0.6248
0.1255 0.6248 0.6248
0.0000 0.0000 0.0000
```

***

(7)
DFT (PBE) results for TcSeCl2 after structural relaxation.

As for the formation energy from raw total energies: 95 meV per atom. Its volume is 84 Å³/cell. The value obtained for the raw total energy is -4.29 eV per atom. The calculation puts the density of states at the Fermi level at 0.91 states/eV/atom.

The structure in POSCAR format:
```
TcSeCl2
1.0
10.1062 0.0598 0.0351
9.6082 3.1340 0.0351
9.6082 1.5565 2.7203
Tc Se Cl
1 1 2
direct
0.7500 0.7500 0.7500
0.2500 0.2500 0.2500
0.0279 0.0279 0.0279
0.4721 0.4721 0.4721
```

***

Q: Which formula does entry 1 have?
A: Dy4Ir3Au

***

Q: Which of these has the highest raw total energy?
A: K2RbLiPb